# ScRe5 | Alexandria | PBE-GGA | relaxed
data_ScRe5
_chemical_formula_sum 'Sc1 Re5'
_symmetry_space_group_name_H-M 'P 1'
_symmetry_Int_Tables_number 1
_symmetry_space_group_name_Hall 'P 1'
_cell_length_a 6.8993
_cell_length_b 6.8993
_cell_length_c 4.4754
_cell_angle_alpha 90.00
_cell_angle_beta 90.00
_cell_angle_gamma 154.01
loop_
_atom_site_label
_atom_site_type_symbol
_atom_site_fract_x
_atom_site_fract_y
_atom_site_fract_z
Sc1 Sc 0.0000 0.0000 0.0000
Re1 Re 0.1644 0.8356 0.5000
Re2 Re 0.3281 0.6719 0.0000
Re3 Re 0.5000 0.5000 0.5000
Re4 Re 0.6719 0.3281 0.0000
Re5 Re 0.8356 0.1644 0.5000
# Energy relative to the lowest polymorph listed for this composition (eV per atom): 0.000
# Space-group type: Cmmm (65)
# DFT formation energy (kJ/mol of formula units): 47
# DOS at the Fermi energy (states/eV per atom): 0.880